DFT (GGA+U) results for a relaxed Li3Ni2SbO6 crystal.

abc: 5.225 5.225 5.204
angles: 99.71 99.71 119.93
Atoms (fractional coordinates):
Li: 0.000 0.000 0.000
Li: 0.326 0.674 0.000
Li: 0.674 0.326 0.000
Ni: 0.166 0.834 0.500
Ni: 0.834 0.166 0.500
Sb: 0.500 0.500 0.500
O: 0.103 0.423 0.267
O: 0.257 0.257 0.729
O: 0.423 0.103 0.267
O: 0.577 0.897 0.733
O: 0.743 0.743 0.271
O: 0.897 0.577 0.733

Output
Energy above the lowest structure with this stoichiometry (kJ/mol of atoms): 0.0

DFT (GGA+U) results for a relaxed Li4Ni3Sb5O16 crystal.

abc: 6.152 6.152 10.352
angles: 90.13 90.13 60.49
Atoms (fractional coordinates):
Li: 0.000 0.000 0.000
Li: 0.007 0.007 0.519
Li: 0.331 0.331 0.398
Li: 0.675 0.675 0.913
Ni: 0.182 0.677 0.736
Ni: 0.677 0.182 0.736
Ni: 0.836 0.836 0.224
Sb: 0.182 0.182 0.739
Sb: 0.344 0.838 0.225
Sb: 0.357 0.357 0.992
Sb: 0.688 0.688 0.534
Sb: 0.838 0.344 0.225
O: 0.009 0.009 0.327
O: 0.018 0.018 0.828
O: 0.047 0.486 0.864
O: 0.158 0.158 0.112
O: 0.172 0.701 0.109
O: 0.332 0.867 0.629
O: 0.339 0.339 0.635
O: 0.486 0.047 0.864
O: 0.496 0.496 0.864
O: 0.505 0.985 0.328
O: 0.508 0.508 0.322
O: 0.667 0.667 0.116
O: 0.701 0.172 0.109
O: 0.854 0.854 0.622
O: 0.867 0.332 0.629
O: 0.985 0.505 0.328

Output
Calculated total energy (eV/atom): -5.605

DFT (GGA+U) results for a relaxed Li4Ni3Sn3Sb2O16 crystal.

abc: 6.148 6.148 9.759
angles: 90.16 90.16 60.05
Atoms (fractional coordinates):
Li: 0.000 0.000 0.000
Li: 0.327 0.327 0.483
Li: 0.577 0.577 0.547
Li: 0.660 0.660 0.086
Ni: 0.329 0.844 0.300
Ni: 0.500 0.500 0.808
Ni: 0.844 0.329 0.300
Sn: 0.009 0.504 0.798
Sn: 0.504 0.009 0.798
Sn: 0.840 0.840 0.305
Sb: 0.013 0.013 0.571
Sb: 0.342 0.342 0.082
O: 0.000 0.000 0.197
O: 0.008 0.501 0.179
O: 0.152 0.152 0.438
O: 0.156 0.705 0.447
O: 0.187 0.629 0.936
O: 0.188 0.188 0.933
O: 0.337 0.837 0.684
O: 0.338 0.338 0.688
O: 0.501 0.008 0.179
O: 0.501 0.501 0.182
O: 0.629 0.187 0.936
O: 0.671 0.671 0.391
O: 0.671 0.671 0.896
O: 0.705 0.156 0.447
O: 0.837 0.337 0.684
O: 0.850 0.850 0.692

Output
Calculated total energy (eV/atom): -5.700

DFT (GGA+U) results for a relaxed Li4Ti2Ni3Sb3O16 crystal.

abc: 6.103 6.103 9.712
angles: 90.36 90.36 60.29
Atoms (fractional coordinates):
Li: 0.000 0.000 0.000
Li: 0.010 0.010 0.520
Li: 0.318 0.318 0.614
Li: 0.670 0.670 0.102
Ti: 0.314 0.314 0.001
Ti: 0.633 0.633 0.532
Ni: 0.167 0.167 0.291
Ni: 0.329 0.816 0.793
Ni: 0.816 0.329 0.793
Sb: 0.167 0.660 0.289
Sb: 0.660 0.167 0.289
Sb: 0.817 0.817 0.789
O: 0.043 0.481 0.160
O: 0.146 0.652 0.911
O: 0.165 0.165 0.915
O: 0.327 0.824 0.412
O: 0.333 0.333 0.403
O: 0.481 0.043 0.160
O: 0.486 0.486 0.167
O: 0.505 0.505 0.654
O: 0.517 0.947 0.659
O: 0.652 0.146 0.911
O: 0.659 0.659 0.899
O: 0.824 0.327 0.412
O: 0.840 0.840 0.402
O: 0.947 0.517 0.659
O: 0.986 0.986 0.704
O: 0.999 0.999 0.188

Output
Calculated total energy (eV/atom): -6.220